[1]
A plane-wave DFT calculation with PBE was carried out for PmSmCuRh after structural relaxation.

Calculated values
Density of states at the Fermi level (states/eV/f.u.): 2.7
E_form (eV/atom): -0.50
Energy (eV for the cell shown): -22.92
Space group: Amm2
Energy above the most stable polymorph in this dataset (kcal/mol of atoms): 0.00

a = 4.4454 Å, b = 5.6369 Å, c = 5.6369 Å
α = 40.43°, β = 90.00°, γ = 90.00°
With the nearest neighbours (Å) after each atom.
Fractional positions:
Pm 0.0000 0.0000 0.0000  3 Rh 2.96-3.03, 4 Cu 3.04
Sm 0.5000 0.7234 0.7234  3 Cu 2.96-3.06, 4 Rh 3.02
Cu 0.5000 0.4344 0.4344  2 Rh 2.76, 3 Sm 2.96-3.06, 4 Pm 3.04
Rh 0.0000 0.2800 0.2800  2 Cu 2.76, 3 Pm 2.96-3.03, 4 Sm 3.02

[2]
A plane-wave DFT calculation with PBE was carried out for Pm2CuSn4Rh3 after structural relaxation.

Calculated values
Density of states at the Fermi level (states/eV/f.u.): 5.7
E_form (eV/atom): -0.62
Energy (eV for the cell shown): -57.83
Space group: P-4m2

a = 4.5631 Å, b = 4.5631 Å, c = 10.4587 Å
α = 90.00°, β = 90.00°, γ = 90.00°
With the nearest neighbours (Å) after each atom.
Fractional positions:
Pm 0.0000 0.5000 0.2454  2 Cu 3.43, 6 Rh 3.43-3.48, 8 Sn 3.46-3.51
Pm 0.5000 0.0000 0.7546  2 Cu 3.43, 6 Rh 3.43-3.48, 8 Sn 3.46-3.51
Cu 0.5000 0.5000 0.0000  4 Sn 2.63
Sn 0.0000 0.0000 0.5000  4 Rh 2.65
Sn 0.0000 0.5000 0.8749  3 Rh 2.57-2.63, 2 Cu 2.63
Sn 0.5000 0.0000 0.1251  3 Rh 2.57-2.63, 2 Cu 2.63
Sn 0.5000 0.5000 0.5000  4 Rh 2.65
Rh 0.0000 0.0000 0.0000  4 Sn 2.63
Rh 0.0000 0.5000 0.6294  5 Sn 2.57-2.65
Rh 0.5000 0.0000 0.3706  5 Sn 2.57-2.65

[3]
A plane-wave DFT calculation with PBE was carried out for Pm2Cu2SnRh5 after structural relaxation.

Calculated values
Density of states at the Fermi level (states/eV/f.u.): 9.6
E_form (eV/atom): -0.50
Energy (eV for the cell shown): -126.89
Space group: P4/mbm

a = 9.4782 Å, b = 9.4782 Å, c = 3.8659 Å
α = 90.00°, β = 90.00°, γ = 90.00°
With the nearest neighbours (Å) after each atom.
Fractional positions:
Pm 0.1752 0.3248 0.0000  3 Cu 2.73-2.85, 2 Rh 3.04
Pm 0.3248 0.8248 0.0000  3 Cu 2.73-2.85, 2 Rh 3.04
Pm 0.6752 0.1752 0.0000  3 Cu 2.73-2.85, 2 Rh 3.04
Pm 0.8248 0.6752 0.0000  3 Cu 2.73-2.85, 2 Rh 3.04
Cu 0.1210 0.6210 0.0000  6 Rh 2.52-2.56, 1 Pm 2.73
Cu 0.3790 0.1210 0.0000  6 Rh 2.52-2.56, 1 Pm 2.73
Cu 0.6210 0.8790 0.0000  6 Rh 2.52-2.56, 1 Pm 2.73
Cu 0.8790 0.3790 0.0000  6 Rh 2.52-2.56, 1 Pm 2.73
Sn 0.0000 0.0000 0.0000  8 Rh 2.85
Sn 0.5000 0.5000 0.0000  8 Rh 2.85
Rh 0.0000 0.5000 0.5000  4 Cu 2.52
Rh 0.0689 0.7908 0.5000  2 Cu 2.56, 1 Rh 2.83, 2 Sn 2.85
Rh 0.2092 0.0689 0.5000  2 Cu 2.56, 1 Rh 2.83, 2 Sn 2.85
Rh 0.2908 0.5689 0.5000  2 Cu 2.56, 1 Rh 2.83, 2 Sn 2.85
Rh 0.4311 0.2908 0.5000  2 Cu 2.56, 1 Rh 2.83, 2 Sn 2.85
Rh 0.5000 0.0000 0.5000  4 Cu 2.52
Rh 0.5689 0.7092 0.5000  2 Cu 2.56, 1 Rh 2.83, 2 Sn 2.85
Rh 0.7092 0.4311 0.5000  2 Cu 2.56, 1 Rh 2.83, 2 Sn 2.85
Rh 0.7908 0.9311 0.5000  2 Cu 2.56, 1 Rh 2.83, 2 Sn 2.85
Rh 0.9311 0.2092 0.5000  2 Cu 2.56, 1 Rh 2.83, 2 Sn 2.85